A relaxed LiAcYGa crystal. Source: Alexandria, functional PBE.

Computed properties:
Calculated volume = 109.7 Å³/cell
Formation energy from the elements = -0.2394 eV/atom

extended XYZ file:
```
4
Lattice="0.0000 3.7992 3.7992 3.7992 0.0000 3.7992 3.7992 3.7992 0.0000" Properties=species:S:1:pos:R:3 pbc="T T T"
Li 0.0000 0.0000 0.0000
Ac 5.6988 5.6988 5.6988
Y 1.8996 1.8996 1.8996
Ga 3.7992 3.7992 3.7992
```

***

A relaxed CaAl2In2 crystal. Source: Alexandria, functional PBE.

Computed properties:
Calculated volume = 242.6 Å³/cell
Formation energy from the elements = -0.0091 eV/atom

extended XYZ file:
```
10
Lattice="8.2739 0.0000 0.0000 0.0000 8.2739 0.0000 0.0000 0.0000 3.5438" Properties=species:S:1:pos:R:3 pbc="T T T"
Ca 0.0000 0.0000 0.0000
Ca 4.1369 4.1369 0.0000
Al 1.3294 2.8075 1.7719
Al 2.8075 6.9445 1.7719
Al 5.4663 1.3294 1.7719
Al 6.9445 5.4663 1.7719
In 1.1222 5.2591 0.0000
In 3.0148 1.1222 0.0000
In 5.2591 7.1517 0.0000
In 7.1517 3.0148 0.0000
```

***

A relaxed TbHf2Sc crystal. Source: Alexandria, functional PBE.

Computed properties:
Energy relative to the lowest polymorph listed for this composition = 0.012 eV per atom
Calculated volume = 97.8 Å³/cell
Formation energy from the elements = 0.1447 eV/atom

extended XYZ file:
```
4
Lattice="4.5860 0.0000 0.0000 0.0000 4.5860 0.0000 0.0000 0.0000 4.6506" Properties=species:S:1:pos:R:3 pbc="T T T"
Tb 0.0000 0.0000 0.0000
Hf 0.0000 2.2930 2.3253
Hf 2.2930 0.0000 2.3253
Sc 2.2930 2.2930 0.0000
```

***

A relaxed Ga2GePbI crystal. Source: Alexandria, functional PBE.

Computed properties:
Formation energy (no corrections) = 0.4908 eV/atom
Calculated volume = 185.0 Å³/cell

extended XYZ file:
```
5
Lattice="5.8252 0.0000 0.0000 0.0000 5.8252 0.0000 0.0000 0.0000 5.4508" Properties=species:S:1:pos:R:3 pbc="T T T"
Ga 0.0000 2.9126 0.0000
Ga 2.9126 0.0000 0.0000
Ge 0.0000 0.0000 2.7254
Pb 0.0000 0.0000 0.0000
I 2.9126 2.9126 2.7254
```

***

A relaxed Na3SrSe crystal. Source: Alexandria, functional PBE.

Computed properties:
Energy relative to the lowest polymorph listed for this composition = 0.000 eV per atom
Formation energy (no corrections) = -0.3800 eV/atom
Calculated volume = 193.3 Å³/cell

extended XYZ file:
```
5
Lattice="5.7823 0.0000 0.0000 0.0000 5.7823 0.0000 0.0000 0.0000 5.7823" Properties=species:S:1:pos:R:3 pbc="T T T"
Na 0.0000 0.0000 2.8911
Na 0.0000 2.8911 0.0000
Na 2.8911 0.0000 0.0000
Sr 2.8911 2.8911 2.8911
Se 0.0000 0.0000 0.0000
```

***

A relaxed Th4GaFe2 crystal. Source: Alexandria, functional PBE.

Computed properties:
Calculated volume = 335.5 Å³/cell
Formation energy from the elements = -0.1762 eV/atom

extended XYZ file:
```
14
Lattice="6.7610 0.0000 0.0000 -1.7074 6.6392 0.0000 -2.5264 -3.3191 7.4736" Properties=species:S:1:pos:R:3 pbc="T T T"
Th 0.0000 0.0000 0.0000
Th -2.6141 2.8396 4.3359
Th 0.5781 -0.5300 3.6198
Th 0.7686 2.8406 2.1164
Th -0.0609 1.2803 6.5436
Th 0.7918 -2.0401 7.3718
Th 3.9577 -0.5245 2.8293
Th 3.3819 0.0021 6.4566
Ga 0.9599 3.9131 4.8978
Ga 4.3242 3.9073 1.5517
Fe -1.2356 -1.1235 5.6628
Fe 0.4413 5.5175 0.7771
Fe 2.0080 1.5621 4.6447
Fe 5.3896 1.5640 1.8062
```